1.
An optimized crystal structure of ErTh2Mg. Source: Alexandria, functional PBE.

Calculated values
The value obtained for the theoretical density is 8561 kg/m³. For the total energy, the calculation gives -19.92 eV/f.u. As for the energy above the most stable polymorph in this dataset: 0.262 eV/atom. The value obtained for the formation enthalpy at 0 K is 269 meV per atom.

Geometry as CIF:
```
data_ErTh2Mg
_chemical_formula_sum 'Er1 Th2 Mg1'
_cell_length_a 12.714
_cell_length_b 12.714
_cell_length_c 12.714
_cell_angle_alpha 15.46
_cell_angle_beta 15.46
_cell_angle_gamma 15.46
_space_group_name_H-M_alt 'P 1'
_space_group_IT_number 1
loop_
_space_group_symop_operation_xyz
'x,y,z'
loop_
_atom_site_label
_atom_site_fract_x
_atom_site_fract_y
_atom_site_fract_z
Er1 0.000 0.000 0.000
Th1 0.411 0.411 0.411
Th2 0.589 0.589 0.589
Mg1 0.500 0.500 0.500
```

2.
An optimized crystal structure of Nd3Tl. Source: Alexandria, functional PBE.

Calculated values
The value obtained for the theoretical density is 7681 kg/m³. For the total energy, the calculation gives -16.55 eV/f.u. As for the energy above the most stable polymorph in this dataset: 0.234 eV/atom. The value obtained for the formation enthalpy at 0 K is 29 meV per atom.

Geometry as CIF:
```
data_Nd3Tl
_chemical_formula_sum 'Nd3 Tl1'
_cell_length_a 3.535
_cell_length_b 3.608
_cell_length_c 10.798
_cell_angle_alpha 90.00
_cell_angle_beta 90.00
_cell_angle_gamma 90.00
_space_group_name_H-M_alt 'P 1'
_space_group_IT_number 1
loop_
_space_group_symop_operation_xyz
'x,y,z'
loop_
_atom_site_label
_atom_site_fract_x
_atom_site_fract_y
_atom_site_fract_z
Nd1 0.000 0.000 0.000
Nd2 0.000 0.500 0.461
Nd3 0.500 0.500 0.752
Tl1 0.500 0.000 0.258
```

3.
An optimized crystal structure of Cs2PaRhS4. Source: Alexandria, functional PBE.

Calculated values
The value obtained for the theoretical density is 3944 kg/m³. For the total energy, the calculation gives -42.88 eV/f.u. As for the raw formation energy: -977.5 meV/atom.

Geometry as CIF:
```
data_Cs2PaRhS4
_chemical_formula_sum 'Cs4 Pa2 Rh2 S8'
_cell_length_a 14.855
_cell_length_b 13.087
_cell_length_c 8.310
_cell_angle_alpha 84.82
_cell_angle_beta 61.33
_cell_angle_gamma 33.86
_space_group_name_H-M_alt 'P 1'
_space_group_IT_number 1
loop_
_space_group_symop_operation_xyz
'x,y,z'
loop_
_atom_site_label
_atom_site_fract_x
_atom_site_fract_y
_atom_site_fract_z
Cs1 0.056 0.056 0.694
Cs2 0.306 0.306 0.944
Cs3 0.694 0.694 0.056
Cs4 0.944 0.944 0.306
Pa1 0.125 0.125 0.125
Pa2 0.875 0.875 0.875
Rh1 0.375 0.375 0.375
Rh2 0.625 0.625 0.625
S1 0.005 0.668 0.535
S2 0.292 0.535 0.668
S3 0.332 0.995 0.708
S4 0.465 0.708 0.995
S5 0.535 0.292 0.005
S6 0.668 0.005 0.292
S7 0.708 0.465 0.332
S8 0.995 0.332 0.465
```

4.
An optimized crystal structure of Cs3NaPb4. Source: Alexandria, functional PBE.

Calculated values
The value obtained for the theoretical density is 5685 kg/m³. For the total energy, the calculation gives -20.75 eV/f.u. As for the energy above the most stable polymorph in this dataset: 0.000 eV/atom. The value obtained for the formation enthalpy at 0 K is -255 meV per atom.

Geometry as CIF:
```
data_Cs3NaPb4
_chemical_formula_sum 'Cs6 Na2 Pb8'
_cell_length_a 9.573
_cell_length_b 9.573
_cell_length_c 11.314
_cell_angle_alpha 90.00
_cell_angle_beta 90.00
_cell_angle_gamma 135.20
_space_group_name_H-M_alt 'P 1'
_space_group_IT_number 1
loop_
_space_group_symop_operation_xyz
'x,y,z'
loop_
_atom_site_label
_atom_site_fract_x
_atom_site_fract_y
_atom_site_fract_z
Cs1 0.113 0.887 0.555
Cs2 0.113 0.887 0.945
Cs3 0.266 0.734 0.250
Cs4 0.734 0.266 0.750
Cs5 0.887 0.113 0.055
Cs6 0.887 0.113 0.445
Na1 0.500 0.500 0.000
Na2 0.500 0.500 0.500
Pb1 0.224 0.319 0.750
Pb2 0.319 0.224 0.250
Pb3 0.329 0.671 0.614
Pb4 0.329 0.671 0.886
Pb5 0.671 0.329 0.114
Pb6 0.671 0.329 0.386
Pb7 0.681 0.776 0.750
Pb8 0.776 0.681 0.250
```

5.
An optimized crystal structure of SrMgInAu2. Source: Alexandria, functional PBE.

Calculated values
The value obtained for the theoretical density is 8312 kg/m³. For the total energy, the calculation gives -15.61 eV/f.u. The value obtained for the formation enthalpy at 0 K is -609 meV per atom.

Geometry as CIF:
```
data_SrMgInAu2
_chemical_formula_sum 'Sr1 Mg1 In1 Au2'
_cell_length_a 7.056
_cell_length_b 7.056
_cell_length_c 7.056
_cell_angle_alpha 143.42
_cell_angle_beta 143.42
_cell_angle_gamma 52.69
_space_group_name_H-M_alt 'P 1'
_space_group_IT_number 1
loop_
_space_group_symop_operation_xyz
'x,y,z'
loop_
_atom_site_label
_atom_site_fract_x
_atom_site_fract_y
_atom_site_fract_z
Sr1 0.000 0.000 0.000
Mg1 0.250 0.750 0.500
In1 0.750 0.250 0.500
Au1 0.389 0.389 0.000
Au2 0.611 0.611 0.000
```

6.
An optimized crystal structure of Ca2ZrPt. Source: Alexandria, functional PBE.

Calculated values
The value obtained for the theoretical density is 5679 kg/m³. For the total energy, the calculation gives -18.81 eV/f.u. As for the energy above the most stable polymorph in this dataset: 0.370 eV/atom. The value obtained for the formation enthalpy at 0 K is -55 meV per atom.

Geometry as CIF:
```
data_Ca2ZrPt
_chemical_formula_sum 'Ca2 Zr1 Pt1'
_cell_length_a 10.113
_cell_length_b 10.113
_cell_length_c 10.113
_cell_angle_alpha 20.13
_cell_angle_beta 20.13
_cell_angle_gamma 20.13
_space_group_name_H-M_alt 'P 1'
_space_group_IT_number 1
loop_
_space_group_symop_operation_xyz
'x,y,z'
loop_
_atom_site_label
_atom_site_fract_x
_atom_site_fract_y
_atom_site_fract_z
Ca1 0.233 0.233 0.233
Ca2 0.767 0.767 0.767
Zr1 0.000 0.000 0.000
Pt1 0.500 0.500 0.500
```

7.
An optimized crystal structure of CaSc2Al. Source: Alexandria, functional PBE.

Calculated values
The value obtained for the theoretical density is 2553 kg/m³. For the total energy, the calculation gives -18.86 eV/f.u. The value obtained for the formation enthalpy at 0 K is -114 meV per atom.

Geometry as CIF:
```
data_CaSc2Al
_chemical_formula_sum 'Ca1 Sc2 Al1'
_cell_length_a 3.393
_cell_length_b 3.393
_cell_length_c 8.866
_cell_angle_alpha 90.00
_cell_angle_beta 90.00
_cell_angle_gamma 90.00
_space_group_name_H-M_alt 'P 1'
_space_group_IT_number 1
loop_
_space_group_symop_operation_xyz
'x,y,z'
loop_
_atom_site_label
_atom_site_fract_x
_atom_site_fract_y
_atom_site_fract_z
Ca1 0.000 0.000 0.000
Sc1 0.500 0.500 0.309
Sc2 0.500 0.500 0.691
Al1 0.000 0.000 0.500
```

8.
An optimized crystal structure of SnIrS2. Source: Alexandria, functional PBE.

Calculated values
The value obtained for the theoretical density is 7020 kg/m³. For the total energy, the calculation gives -22.29 eV/f.u. As for the raw formation energy: -293.2 meV/atom.

Geometry as CIF:
```
data_SnIrS2
_chemical_formula_sum 'Sn1 Ir1 S2'
_cell_length_a 8.292
_cell_length_b 8.292
_cell_length_c 8.292
_cell_angle_alpha 24.87
_cell_angle_beta 24.87
_cell_angle_gamma 24.87
_space_group_name_H-M_alt 'P 1'
_space_group_IT_number 1
loop_
_space_group_symop_operation_xyz
'x,y,z'
loop_
_atom_site_label
_atom_site_fract_x
_atom_site_fract_y
_atom_site_fract_z
Sn1 0.000 0.000 0.000
Ir1 0.500 0.500 0.500
S1 0.118 0.118 0.118
S2 0.882 0.882 0.882
```

9.
An optimized crystal structure of Al2ZnPt. Source: Alexandria, functional PBE.

Calculated values
The value obtained for the theoretical density is 8818 kg/m³. For the total energy, the calculation gives -16.67 eV/f.u. The value obtained for the formation enthalpy at 0 K is -468 meV per atom.

Geometry as CIF:
```
data_Al2ZnPt
_chemical_formula_sum 'Al2 Zn1 Pt1'
_cell_length_a 3.988
_cell_length_b 3.988
_cell_length_c 3.723
_cell_angle_alpha 90.00
_cell_angle_beta 90.00
_cell_angle_gamma 90.00
_space_group_name_H-M_alt 'P 1'
_space_group_IT_number 1
loop_
_space_group_symop_operation_xyz
'x,y,z'
loop_
_atom_site_label
_atom_site_fract_x
_atom_site_fract_y
_atom_site_fract_z
Al1 0.000 0.500 0.000
Al2 0.500 0.000 0.000
Zn1 0.000 0.000 0.500
Pt1 0.500 0.500 0.500
```

10.
An optimized crystal structure of Pr5TmMg3. Source: Alexandria, functional PBE.

Calculated values
The value obtained for the theoretical density is 5500 kg/m³. For the total energy, the calculation gives -33.22 eV/f.u. The value obtained for the formation enthalpy at 0 K is -8 meV per atom.

Geometry as CIF:
```
data_Pr5TmMg3
_chemical_formula_sum 'Pr10 Tm2 Mg6'
_cell_length_a 9.659
_cell_length_b 9.659
_cell_length_c 7.073
_cell_angle_alpha 90.00
_cell_angle_beta 90.00
_cell_angle_gamma 120.00
_space_group_name_H-M_alt 'P 1'
_space_group_IT_number 1
loop_
_space_group_symop_operation_xyz
'x,y,z'
loop_
_atom_site_label
_atom_site_fract_x
_atom_site_fract_y
_atom_site_fract_z
Pr1 0.000 0.330 0.250
Pr2 0.000 0.670 0.750
Pr3 0.330 0.000 0.250
Pr4 0.330 0.330 0.750
Pr5 0.333 0.667 0.000
Pr6 0.333 0.667 0.500
Pr7 0.667 0.333 0.000
Pr8 0.667 0.333 0.500
Pr9 0.670 0.000 0.750
Pr10 0.670 0.670 0.250
Tm1 0.000 0.000 0.000
Tm2 0.000 0.000 0.500
Mg1 0.000 0.330 0.750
Mg2 0.000 0.670 0.250
Mg3 0.330 0.000 0.750
Mg4 0.330 0.330 0.250
Mg5 0.670 0.000 0.250
Mg6 0.670 0.670 0.750
```

11.
An optimized crystal structure of In6Pb7. Source: Alexandria, functional PBE.

Calculated values
The value obtained for the theoretical density is 8612 kg/m³. For the total energy, the calculation gives -41.15 eV/f.u. The value obtained for the formation enthalpy at 0 K is 95 meV per atom.

Geometry as CIF:
```
data_In6Pb7
_chemical_formula_sum 'In6 Pb7'
_cell_length_a 11.615
_cell_length_b 11.615
_cell_length_c 11.615
_cell_angle_alpha 32.95
_cell_angle_beta 32.95
_cell_angle_gamma 32.95
_space_group_name_H-M_alt 'P 1'
_space_group_IT_number 1
loop_
_space_group_symop_operation_xyz
'x,y,z'
loop_
_atom_site_label
_atom_site_fract_x
_atom_site_fract_y
_atom_site_fract_z
In1 0.047 0.047 0.047
In2 0.152 0.152 0.152
In3 0.334 0.334 0.334
In4 0.666 0.666 0.666
In5 0.848 0.848 0.848
In6 0.953 0.953 0.953
Pb1 0.081 0.586 0.586
Pb2 0.414 0.414 0.919
Pb3 0.414 0.919 0.414
Pb4 0.500 0.500 0.500
Pb5 0.586 0.081 0.586
Pb6 0.586 0.586 0.081
Pb7 0.919 0.414 0.414
```

12.
An optimized crystal structure of As2PbCl. Source: Alexandria, functional PBE.

Calculated values
The value obtained for the theoretical density is 6374 kg/m³. For the total energy, the calculation gives -14.30 eV/f.u. As for the raw formation energy: 138.5 meV/atom.

Geometry as CIF:
```
data_As2PbCl
_chemical_formula_sum 'As2 Pb1 Cl1'
_cell_length_a 6.706
_cell_length_b 6.706
_cell_length_c 3.101
_cell_angle_alpha 90.00
_cell_angle_beta 90.00
_cell_angle_gamma 132.84
_space_group_name_H-M_alt 'P 1'
_space_group_IT_number 1
loop_
_space_group_symop_operation_xyz
'x,y,z'
loop_
_atom_site_label
_atom_site_fract_x
_atom_site_fract_y
_atom_site_fract_z
As1 0.000 0.500 0.000
As2 0.500 0.000 0.000
Pb1 0.000 0.000 0.500
Cl1 0.500 0.500 0.500
```